[1]
## PrHo2Al9 (PBE)

Data for PrHo2Al9 after structural relaxation.

Geometry as POSCAR:
```
PrHo2Al9
1.0
2.802 1.618 8.766
-2.802 1.618 8.766
0.000 -3.236 8.766
Pr Ho Al
1 2 9
direct
0.000 0.000 0.000
0.142 0.142 0.142
0.858 0.858 0.858
0.076 0.588 0.588
0.336 0.336 0.336
0.412 0.412 0.924
0.412 0.924 0.412
0.500 0.500 0.500
0.588 0.076 0.588
0.588 0.588 0.076
0.664 0.664 0.664
0.924 0.412 0.412
```

Computed properties:
energy of formation from the pure elements = -0.389 eV per atom
calculated total energy = -52.281 eV for the cell shown
total magnetic moment = 0.000 μB per formula unit

[2]
## PrHo4Al2 (PBE)

Data for PrHo4Al2 after structural relaxation.

Geometry as POSCAR:
```
PrHo4Al2
1.0
-2.825 2.825 6.369
2.825 -2.825 6.369
2.825 2.825 -6.369
Pr Ho Al
1 4 2
direct
0.000 0.000 0.000
0.000 0.500 0.500
0.250 0.750 0.500
0.500 0.000 0.500
0.750 0.250 0.500
0.385 0.385 0.000
0.615 0.615 0.000
```

Computed properties:
ΔE to the lowest computed polymorph = 480 meV per atom
energy of formation from the pure elements = 0.278 eV per atom
calculated total energy = -28.631 eV for the cell shown
total magnetic moment = 0.001 μB per formula unit

[3]
## Pr4HoAl5 (PBE)

Data for Pr4HoAl5 after structural relaxation.

Geometry as POSCAR:
```
Pr4HoAl5
1.0
3.722 0.000 0.000
0.000 3.722 0.000
0.000 0.000 18.636
Pr Ho Al
4 1 5
direct
0.000 0.000 0.102
0.000 0.000 0.307
0.000 0.000 0.693
0.000 0.000 0.898
0.000 0.000 0.500
0.500 0.500 0.000
0.500 0.500 0.204
0.500 0.500 0.411
0.500 0.500 0.589
0.500 0.500 0.796
```

Computed properties:
energy of formation from the pure elements = -0.350 eV per atom
calculated total energy = -45.912 eV for the cell shown
total magnetic moment = 0.000 μB per formula unit